Entry a
A relaxed structure of Ce4IrRu, computed with GGA-PBE.

Cell and atoms, written as CIF:
```
data_Ce4IrRu
_chemical_formula_sum 'Ce32 Ir8 Ru8'
_space_group_name_H-M_alt 'F d d d'
_space_group_IT_number 70
_cell_length_a 8.416
_cell_length_b 11.100
_cell_length_c 13.174
_cell_angle_alpha 90.00
_cell_angle_beta 90.00
_cell_angle_gamma 90.00
loop_
_space_group_symop_operation_xyz
'x,y,z'
'-x,-y,-z'
'-x+1/4,-y+1/4,z'
'x+1/4,y+1/4,-z'
'x,-y+1/4,-z+1/4'
'-x,y+1/4,z+1/4'
'-x+1/4,y,-z+1/4'
'x+1/4,-y,z+1/4'
'x,y+1/2,z+1/2'
'-x,-y+1/2,-z+1/2'
'-x+1/4,-y+3/4,z+1/2'
'x+1/4,y+3/4,-z+1/2'
'x,-y+3/4,-z+3/4'
'-x,y+3/4,z+3/4'
'-x+1/4,y+1/2,-z+3/4'
'x+1/4,-y+1/2,z+3/4'
'x+1/2,y,z+1/2'
'-x+1/2,-y,-z+1/2'
'-x+3/4,-y+1/4,z+1/2'
'x+3/4,y+1/4,-z+1/2'
'x+1/2,-y+1/4,-z+3/4'
'-x+1/2,y+1/4,z+3/4'
'-x+3/4,y,-z+3/4'
'x+3/4,-y,z+3/4'
'x+1/2,y+1/2,z'
'-x+1/2,-y+1/2,-z'
'-x+3/4,-y+3/4,z'
'x+3/4,y+3/4,-z'
'x+1/2,-y+3/4,-z+1/4'
'-x+1/2,y+3/4,z+1/4'
'-x+3/4,y+1/2,-z+1/4'
'x+3/4,-y+1/2,z+1/4'
loop_
_atom_site_label
_atom_site_type_symbol
_atom_site_fract_x
_atom_site_fract_y
_atom_site_fract_z
Ce1 Ce 0.112 0.365 0.013
Ir1 Ir 0.125 0.125 0.125
Ru1 Ru 0.125 0.125 0.625
```

Entry b
A relaxed structure of Ce4IrRu, computed with GGA-PBE.

Cell and atoms, written as CIF:
```
data_Ce4IrRu
_chemical_formula_sum 'Ce16 Ir4 Ru4'
_space_group_name_H-M_alt 'C 1 2/c 1'
_space_group_IT_number 15
_cell_length_a 8.646
_cell_length_b 12.310
_cell_length_c 6.037
_cell_angle_alpha 90.00
_cell_angle_beta 118.68
_cell_angle_gamma 90.00
loop_
_space_group_symop_operation_xyz
'x,y,z'
'-x,-y,-z'
'-x,y,-z+1/2'
'x,-y,z+1/2'
'x+1/2,y+1/2,z'
'-x+1/2,-y+1/2,-z'
'-x+1/2,y+1/2,-z+1/2'
'x+1/2,-y+1/2,z+1/2'
loop_
_atom_site_label
_atom_site_type_symbol
_atom_site_fract_x
_atom_site_fract_y
_atom_site_fract_z
Ce1 Ce 0.122 0.182 0.094
Ce2 Ce 0.179 0.416 0.299
Ir1 Ir 0.000 0.374 0.750
Ru1 Ru 0.000 0.001 0.250
```

Which one is most stable, and which one is least stable? entry b is the most stable of them, while entry a is the least stable.

Entry a
A relaxed structure of CeIrRu, computed with GGA-PBE.

Cell and atoms, written as CIF:
```
data_CeIrRu
_chemical_formula_sum 'Ce4 Ir4 Ru4'
_space_group_name_H-M_alt 'I m m a'
_space_group_IT_number 74
_space_group_name_Hall '-I 2b 2'
_cell_length_a 5.157
_cell_length_b 5.418
_cell_length_c 7.867
_cell_angle_alpha 90.00
_cell_angle_beta 90.00
_cell_angle_gamma 90.00
loop_
_atom_site_label
_atom_site_type_symbol
_atom_site_fract_x
_atom_site_fract_y
_atom_site_fract_z
Ce1 Ce 0.000 0.250 0.126
Ir1 Ir 0.000 0.000 0.500
Ru1 Ru 0.250 0.250 0.750
```

Entry b
A relaxed structure of CeIrRu, computed with GGA-PBE.

Cell and atoms, written as CIF:
```
data_CeIrRu
_chemical_formula_sum 'Ce1 Ir1 Ru1'
_space_group_name_H-M_alt 'P -6 m 2'
_space_group_IT_number 187
_space_group_name_Hall 'P -6 2'
_cell_length_a 4.2772
_cell_length_b 4.2772
_cell_length_c 3.9922
_cell_angle_alpha 90.00
_cell_angle_beta 90.00
_cell_angle_gamma 120.00
loop_
_atom_site_label
_atom_site_type_symbol
_atom_site_fract_x
_atom_site_fract_y
_atom_site_fract_z
Ce1 Ce 0.0000 0.0000 0.0000
Ir1 Ir 0.3333 0.6667 0.5000
Ru1 Ru 0.6667 0.3333 0.5000
```

Which one is most stable, and which one is least stable? entry a is the most stable of them, while entry b is the least stable.

Entry a
A relaxed structure of Ce8Ir2Ru, computed with GGA-PBE.

Cell and atoms, written as CIF:
```
data_Ce8Ir2Ru
_chemical_formula_sum 'Ce16 Ir4 Ru2'
_space_group_name_H-M_alt 'C 1 2/m 1'
_space_group_IT_number 12
_cell_length_a 17.859
_cell_length_b 4.593
_cell_length_c 6.778
_cell_angle_alpha 90.00
_cell_angle_beta 109.39
_cell_angle_gamma 90.00
loop_
_space_group_symop_operation_xyz
'x,y,z'
'-x,-y,-z'
'-x,y,-z'
'x,-y,z'
'x+1/2,y+1/2,z'
'-x+1/2,-y+1/2,-z'
'-x+1/2,y+1/2,-z'
'x+1/2,-y+1/2,z'
loop_
_atom_site_label
_atom_site_type_symbol
_atom_site_fract_x
_atom_site_fract_y
_atom_site_fract_z
Ce1 Ce 0.004 0.000 0.259
Ce2 Ce 0.090 0.500 0.987
Ce3 Ce 0.169 0.500 0.521
Ce4 Ce 0.201 0.000 0.809
Ir1 Ir 0.163 0.000 0.242
Ru1 Ru 0.000 0.500 0.500
```

Entry b
A relaxed structure of Ce8Ir2Ru, computed with GGA-PBE.

Cell and atoms, written as CIF:
```
data_Ce8Ir2Ru
_chemical_formula_sum 'Ce16 Ir4 Ru2'
_space_group_name_H-M_alt 'C 1 2/m 1'
_space_group_IT_number 12
_cell_length_a 7.935
_cell_length_b 12.578
_cell_length_c 5.776
_cell_angle_alpha 90.00
_cell_angle_beta 110.03
_cell_angle_gamma 90.00
loop_
_space_group_symop_operation_xyz
'x,y,z'
'-x,-y,-z'
'-x,y,-z'
'x,-y,z'
'x+1/2,y+1/2,z'
'-x+1/2,-y+1/2,-z'
'-x+1/2,y+1/2,-z'
'x+1/2,-y+1/2,z'
loop_
_atom_site_label
_atom_site_type_symbol
_atom_site_fract_x
_atom_site_fract_y
_atom_site_fract_z
Ce1 Ce 0.000 0.220 0.000
Ce2 Ce 0.136 0.500 0.839
Ce3 Ce 0.191 0.108 0.584
Ir1 Ir 0.000 0.313 0.500
Ru1 Ru 0.000 0.000 0.000
```

Which one is most stable, and which one is least stable? entry a is the most stable of them, while entry b is the least stable.

Entry a
A relaxed structure of CeYIrRu, computed with GGA-PBE.

Cell and atoms, written as CIF:
```
data_CeYIrRu
_chemical_formula_sum 'Ce1 Y1 Ir1 Ru1'
_space_group_name_H-M_alt 'P 4 m m'
_space_group_IT_number 99
_cell_length_a 3.498
_cell_length_b 3.498
_cell_length_c 6.730
_cell_angle_alpha 90.00
_cell_angle_beta 90.00
_cell_angle_gamma 90.00
loop_
_space_group_symop_operation_xyz
'x,y,z'
'-y,x,z'
'-x,-y,z'
'y,-x,z'
'-x,y,z'
'y,x,z'
'x,-y,z'
'-y,-x,z'
loop_
_atom_site_label
_atom_site_type_symbol
_atom_site_fract_x
_atom_site_fract_y
_atom_site_fract_z
Ce1 Ce 0.000 0.000 0.000
Y1 Y 0.000 0.000 0.499
Ir1 Ir 0.500 0.500 0.239
Ru1 Ru 0.500 0.500 0.767
```

Entry b
A relaxed structure of CeYIrRu, computed with GGA-PBE.

Cell and atoms, written as CIF:
```
data_CeYIrRu
_chemical_formula_sum 'Ce4 Y4 Ir4 Ru4'
_space_group_name_H-M_alt 'F -4 3 m'
_space_group_IT_number 216
_space_group_name_Hall 'F -4 2 3'
_cell_length_a 6.907
_cell_length_b 6.907
_cell_length_c 6.907
_cell_angle_alpha 90.00
_cell_angle_beta 90.00
_cell_angle_gamma 90.00
loop_
_atom_site_label
_atom_site_type_symbol
_atom_site_fract_x
_atom_site_fract_y
_atom_site_fract_z
Ce1 Ce 0.000 0.000 0.000
Y1 Y 0.000 0.000 0.500
Ir1 Ir 0.250 0.250 0.250
Ru1 Ru 0.250 0.250 0.750
```

Which one is most stable, and which one is least stable? entry a is the most stable of them, while entry b is the least stable.

Entry a
A relaxed structure of Ce2Si3Ir2, computed with GGA-PBE.

Cell and atoms, written as CIF:
```
data_Ce2Si3Ir2
_chemical_formula_sum 'Ce8 Si12 Ir8'
_space_group_name_H-M_alt 'C m c m'
_space_group_IT_number 63
_space_group_name_Hall '-C 2c 2'
_cell_length_a 4.174
_cell_length_b 17.854
_cell_length_c 6.901
_cell_angle_alpha 90.00
_cell_angle_beta 90.00
_cell_angle_gamma 90.00
loop_
_atom_site_label
_atom_site_type_symbol
_atom_site_fract_x
_atom_site_fract_y
_atom_site_fract_z
Ce1 Ce 0.000 0.055 0.250
Ce2 Ce 0.000 0.156 0.750
Si1 Si 0.000 0.222 0.250
Si2 Si 0.000 0.439 0.069
Ir1 Ir 0.000 0.309 0.546
```

Entry b
A relaxed structure of Ce2Si3Ir2, computed with GGA-PBE.

Cell and atoms, written as CIF:
```
data_Ce2Si3Ir2
_chemical_formula_sum 'Ce4 Si6 Ir4'
_space_group_name_H-M_alt 'C 1 2/m 1'
_space_group_IT_number 12
_cell_length_a 10.517
_cell_length_b 4.109
_cell_length_c 6.819
_cell_angle_alpha 90.00
_cell_angle_beta 118.73
_cell_angle_gamma 90.00
loop_
_space_group_symop_operation_xyz
'x,y,z'
'-x,-y,-z'
'-x,y,-z'
'x,-y,z'
'x+1/2,y+1/2,z'
'-x+1/2,-y+1/2,-z'
'-x+1/2,y+1/2,-z'
'x+1/2,-y+1/2,z'
loop_
_atom_site_label
_atom_site_type_symbol
_atom_site_fract_x
_atom_site_fract_y
_atom_site_fract_z
Ce1 Ce 0.141 0.000 0.266
Si1 Si 0.000 0.500 0.500
Si2 Si 0.132 0.500 0.928
Ir1 Ir 0.138 0.000 0.718
```

Which one is most stable, and which one is least stable? entry a is the most stable of them, while entry b is the least stable.